Version a
Here is crystalline La3Pr2Sm8 at its relaxed geometry from Alexandria. Energies are from PBE-GGA.

V (Å³/atom): 35.02
Magnetization (μB per atom): 0.000

The structure in CIF format:
```
data_La3Pr2Sm8
_chemical_formula_sum 'La3 Pr2 Sm8'
_symmetry_space_group_name_H-M 'P -1'
_symmetry_Int_Tables_number 2
_symmetry_space_group_name_Hall '-P 1'
_cell_length_a 6.3559
_cell_length_b 6.3698
_cell_length_c 11.6075
_cell_angle_alpha 89.96
_cell_angle_beta 79.45
_cell_angle_gamma 80.32
loop_
_atom_site_label
_atom_site_type_symbol
_atom_site_fract_x
_atom_site_fract_y
_atom_site_fract_z
La1 La 0.0000 0.0000 0.0000
La2 La 0.2292 0.4617 0.0775
Pr1 Pr 0.3844 0.7686 0.4621
Sm1 Sm 0.0768 0.1530 0.6909
Sm2 Sm 0.1531 0.3073 0.3851
Sm3 Sm 0.3082 0.6143 0.7674
Sm4 Sm 0.4620 0.9240 0.1559
```

---

Version b
Here is crystalline La3Pr2Sm8 at its relaxed geometry from Alexandria. Energies are from PBE-GGA.

V (Å³/atom): 36.10
Magnetization (μB per atom): 0.000

The structure in CIF format:
```
data_La3Pr2Sm8
_chemical_formula_sum 'La6 Pr4 Sm16'
_symmetry_space_group_name_H-M 'C 1 2/m 1'
_symmetry_Int_Tables_number 12
_symmetry_space_group_name_Hall '-C 2y'
_cell_length_a 20.8867
_cell_length_b 7.7965
_cell_length_c 5.7636
_cell_angle_alpha 90.00
_cell_angle_beta 90.08
_cell_angle_gamma 90.00
loop_
_atom_site_label
_atom_site_type_symbol
_atom_site_fract_x
_atom_site_fract_y
_atom_site_fract_z
La1 La 0.0000 0.0000 0.0000
La2 La 0.0000 0.2966 0.5000
Pr1 Pr 0.2419 0.0000 0.9974
Sm1 Sm 0.1068 0.2913 0.0004
Sm2 Sm 0.1338 0.0000 0.4989
Sm3 Sm 0.1699 0.5000 0.5018
```

---

On energetic grounds, version a is preferred over the next structure by 0.205 eV/atom.

---

Version a
Here is crystalline La7Pr4Sm at its relaxed geometry from Alexandria. Energies are from PBE-GGA.

V (Å³/atom): 36.60
Magnetization (μB per atom): 0.000

The structure in CIF format:
```
data_La7Pr4Sm
_chemical_formula_sum 'La7 Pr4 Sm1'
_symmetry_space_group_name_H-M 'P -1'
_symmetry_Int_Tables_number 2
_symmetry_space_group_name_Hall '-P 1'
_cell_length_a 6.4981
_cell_length_b 7.5020
_cell_length_c 9.2673
_cell_angle_alpha 89.95
_cell_angle_beta 76.46
_cell_angle_gamma 89.99
loop_
_atom_site_label
_atom_site_type_symbol
_atom_site_fract_x
_atom_site_fract_y
_atom_site_fract_z
La1 La 0.0000 0.0000 0.0000
La2 La 0.2217 0.4987 0.3313
La3 La 0.2785 0.7496 0.6688
La4 La 0.5001 0.2519 0.9998
Pr1 Pr 0.2246 0.0002 0.3305
Pr2 Pr 0.2752 0.2507 0.6710
Sm1 Sm 0.0000 0.5000 0.0000
```

---

Version b
Here is crystalline La7Pr4Sm at its relaxed geometry from Alexandria. Energies are from PBE-GGA.

V (Å³/atom): 37.02
Magnetization (μB per atom): 0.042

The structure in CIF format:
```
data_La7Pr4Sm
_chemical_formula_sum 'La14 Pr8 Sm2'
_symmetry_space_group_name_H-M 'C 1 2/m 1'
_symmetry_Int_Tables_number 12
_symmetry_space_group_name_Hall '-C 2y'
_cell_length_a 16.7947
_cell_length_b 6.1877
_cell_length_c 9.5548
_cell_angle_alpha 90.00
_cell_angle_beta 116.53
_cell_angle_gamma 90.00
loop_
_atom_site_label
_atom_site_type_symbol
_atom_site_fract_x
_atom_site_fract_y
_atom_site_fract_z
La1 La 0.0000 0.0000 0.0000
La2 La 0.0807 0.5000 0.4324
La3 La 0.2062 0.5000 0.2154
La4 La 0.2080 0.5000 0.8730
Pr1 Pr 0.0748 0.0000 0.7021
Pr2 Pr 0.1722 0.0000 0.3961
Sm1 Sm 0.0000 0.5000 0.0000
```

---

On energetic grounds, version a is preferred over the next structure by 0.169 eV/atom.